First-principles (PBE) data for a geometry-optimized Th4FeRh structure, as listed in Alexandria via LeMat-Bulk.

## Properties
E_form   -0.32 eV/atom

a b c (Å): 6.2161 6.9248 7.6551
angles (deg): 90.00 107.87 90.00
Space group P2_1/m (No. 11)
Inequivalent atoms, fractional coordinates:
1 Th 0.0029 0.0023 0.2381
2 Th 0.4335 0.2500 0.6200
3 Th 0.4387 0.2500 0.0988
4 Fe 0.2074 0.7500 0.0554
5 Rh 0.2113 0.7500 0.5504

First-principles (PBE) data for a geometry-optimized ErZrMnGa structure, as listed in Alexandria via LeMat-Bulk.

## Properties
E_form   -0.15 eV/atom

a b c (Å): 6.8314 6.8314 6.8314
angles (deg): 90.00 90.00 90.00
Space group F-43m (No. 216)
Inequivalent atoms, fractional coordinates:
1 Er 0.0000 0.0000 0.0000
2 Zr 0.0000 0.0000 0.5000
3 Mn 0.2500 0.2500 0.2500
4 Ga 0.2500 0.2500 0.7500

First-principles (PBE) data for a geometry-optimized Li2ZrN structure, as listed in Alexandria via LeMat-Bulk.

## Properties
Raw formation energy   0.607 eV/atom

a b c (Å): 8.0390 8.0390 8.0390
angles (deg): 90.00 90.00 90.00
Space group Fd-3m (No. 227, origin choice 2)
Inequivalent atoms, fractional coordinates:
1 Li 0.0000 0.0000 0.0000
2 Zr 0.1250 0.1250 0.6250
3 N 0.1250 0.1250 0.1250

First-principles (PBE) data for a geometry-optimized TaWAu2 structure, as listed in Alexandria via LeMat-Bulk.

## Properties
Relative energy among the computed polymorphs   0.90 eV/f.u.
E_form   0.30 eV/atom

a b c (Å): 4.1074 4.1074 8.1972
angles (deg): 90.00 90.00 90.00
Space group I-4m2 (No. 119)
Inequivalent atoms, fractional coordinates:
1 Ta 0.0000 0.0000 0.0000
2 W 0.0000 0.5000 0.7500
3 Au 0.0000 0.0000 0.5000
4 Au 0.0000 0.5000 0.2500

First-principles (PBE) data for a geometry-optimized Ag2TeO4 structure, as listed in Alexandria via LeMat-Bulk.

## Properties
Relative energy among the computed polymorphs   0.24 eV/f.u.
Raw formation energy   -0.527 eV/atom

a b c (Å): 12.8042 3.1493 5.2932
angles (deg): 90.00 112.02 90.00
Space group C2/m (No. 12)
Inequivalent atoms, fractional coordinates:
1 Ag 0.1998 0.0000 0.1673
2 Te 0.0000 0.5000 0.5000
3 O 0.0509 0.0000 0.7693
4 O 0.1417 0.5000 0.4612

First-principles (PBE) data for a geometry-optimized TbY6Cd5 structure, as listed in Alexandria via LeMat-Bulk.

## Properties
E_form   -0.24 eV/atom

a b c (Å): 5.2620 7.8332 15.9474
angles (deg): 90.00 90.00 90.00
Space group Immm (No. 71)
Inequivalent atoms, fractional coordinates:
1 Tb 0.0000 0.0000 0.0000
2 Y 0.0000 0.2290 0.5000
3 Y 0.0000 0.2569 0.1704
4 Cd 0.0000 0.0000 0.3296
5 Cd 0.0000 0.5000 0.0000
6 Cd 0.0000 0.5000 0.3472

First-principles (PBE) data for a geometry-optimized NaGdAsAu structure, as listed in Alexandria via LeMat-Bulk.

## Properties
E_form   -0.76 eV/atom

a b c (Å): 7.1137 7.1137 7.1137
angles (deg): 90.00 90.00 90.00
Space group F-43m (No. 216)
Inequivalent atoms, fractional coordinates:
1 Na 0.0000 0.0000 0.0000
2 Gd 0.0000 0.0000 0.5000
3 As 0.2500 0.2500 0.7500
4 Au 0.2500 0.2500 0.2500

First-principles (PBE) data for a geometry-optimized Y2CuBi2 structure, as listed in Alexandria via LeMat-Bulk.

## Properties
Relative energy among the computed polymorphs   0.00 eV/f.u.
E_form   -0.35 eV/atom

a b c (Å): 7.9638 7.9638 4.3279
angles (deg): 90.00 90.00 90.00
Space group P4/mbm (No. 127)
Inequivalent atoms, fractional coordinates:
1 Y 0.1561 0.3439 0.0000
2 Cu 0.0000 0.0000 0.5000
3 Bi 0.1561 0.6561 0.5000

First-principles (PBE) data for a geometry-optimized Rb5CeO4 structure, as listed in Alexandria via LeMat-Bulk.

## Properties
Raw formation energy   -1.677 eV/atom

a b c (Å): 19.9524 3.7936 7.9239
angles (deg): 90.00 96.27 90.00
Space group C2/m (No. 12)
Inequivalent atoms, fractional coordinates:
1 Rb 0.0000 0.0000 0.0000
2 Rb 0.1421 0.5000 0.7662
3 Rb 0.1427 0.5000 0.3179
4 Ce 0.0000 0.0000 0.5000
5 O 0.0007 0.5000 0.3034
6 O 0.1091 0.0000 0.5311

First-principles (PBE) data for a geometry-optimized LiSn3I8 structure, as listed in Alexandria via LeMat-Bulk.

## Properties
Raw formation energy   -0.562 eV/atom

a b c (Å): 15.2734 8.8357 9.1517
angles (deg): 90.00 124.93 90.00
Space group C2/m (No. 12)
Inequivalent atoms, fractional coordinates:
1 Li 0.0000 0.0000 0.0000
2 Sn 0.0000 0.5000 0.0000
3 Sn 0.2500 0.2500 0.0000
4 I 0.0009 0.2410 0.2367
5 I 0.2418 0.0000 0.2363
6 I 0.2457 0.0000 0.7450

First-principles (PBE) data for a geometry-optimized NiOs3W structure, as listed in Alexandria via LeMat-Bulk.

## Properties
Relative energy among the computed polymorphs   3.23 eV/f.u.
E_form   2.50 eV/atom

a b c (Å): 4.7012 4.7012 4.7012
angles (deg): 90.00 90.00 90.00
Space group Pm-3m (No. 221)
Inequivalent atoms, fractional coordinates:
1 Ni 0.0000 0.0000 0.0000
2 Os 0.0000 0.5000 0.5000
3 W 0.5000 0.5000 0.5000

First-principles (PBE) data for a geometry-optimized TbMgI6 structure, as listed in Alexandria via LeMat-Bulk.

## Properties
Raw formation energy   -0.974 eV/atom

a b c (Å): 7.5161 14.7673 7.4834
angles (deg): 90.00 112.35 90.00
Space group C2/m (No. 12)
Inequivalent atoms, fractional coordinates:
1 Tb 0.0000 0.0000 0.0000
2 Mg 0.0000 0.5000 0.5000
3 I 0.1920 0.0000 0.6976
4 I 0.2124 0.3604 0.7645

| no. | energy (eV/cell) |
| --- | --- |
| 1 | -94.9 |
| 2 | -103.7 |
| 3 | -146.2 |
| 4 | -60.4 |
| 5 | -64.7 |
| 6 | -101.7 |
| 7 | -105.5 |
| 8 | -53.1 |
| 9 | -94.8 |
| 10 | -66.1 |
| 11 | -39.9 |
| 12 | -46.6 |